# 1
Entry from Alexandria: a crystal of Cd2RhAu relaxed with PBEsol (meta-GGA SCAN).

The structure in extended XYZ format:
```
4
Lattice="0.000 3.234 3.234 3.234 0.000 3.234 3.234 3.234 0.000" Properties=species:S:1:pos:R:3 pbc="T T T"
Cd 1.617 1.617 1.617
Cd 4.851 4.851 4.851
Rh 0.000 0.000 0.000
Au 3.234 3.234 3.234
```

Computed properties:
Symmetry: Fm-3m (225)
ρ (g/cm3): 12.9
Spin magnetization (μB per cell): 0.00
ΔH_f (0 K) (eV/f.u.): -0.60



# 2
Entry from Alexandria: a crystal of Cd3Fe2 relaxed with PBEsol (meta-GGA SCAN).

The structure in extended XYZ format:
```
5
Lattice="1.422 0.821 11.656 -1.422 0.821 11.656 0.000 -1.642 11.656" Properties=species:S:1:pos:R:3 pbc="T T T"
Cd 0.000 0.000 0.000
Cd 0.000 0.000 7.174
Cd 0.000 0.000 27.794
Fe 0.000 0.000 13.901
Fe 0.000 0.000 21.067
```

Computed properties:
Symmetry: R-3m (166)
ρ (g/cm3): 9.1
Spin magnetization (μB per cell): 5.41
ΔH_f (0 K) (eV/f.u.): 1.53



# 3
Entry from Alexandria: a crystal of BaBe2Cu relaxed with PBEsol (meta-GGA SCAN).

The structure in extended XYZ format:
```
4
Lattice="3.445 -3.448 0.000 3.445 3.448 0.000 0.000 0.000 2.986" Properties=species:S:1:pos:R:3 pbc="T T T"
Ba 0.000 0.000 0.000
Be 1.722 1.724 1.493
Be 1.722 -1.724 1.493
Cu 3.445 0.000 0.000
```

Computed properties:
Symmetry: Cmmm (65)
ρ (g/cm3): 5.1
Spin magnetization (μB per cell): 0.00
Excess energy over the best structure of this formula in the dataset (kJ/mol of atoms): 102.3
ΔH_f (0 K) (eV/f.u.): 4.58



# 4
Entry from Alexandria: a crystal of ZnWAu2 relaxed with PBEsol (meta-GGA SCAN).

The structure in extended XYZ format:
```
4
Lattice="4.850 0.000 0.000 0.000 4.850 0.000 0.000 0.000 2.737" Properties=species:S:1:pos:R:3 pbc="T T T"
Zn 0.000 0.000 0.000
W 2.425 2.425 0.000
Au 0.000 2.425 1.369
Au 2.425 0.000 1.369
```

Computed properties:
Symmetry: P4/mmm (123)
ρ (g/cm3): 16.6
Spin magnetization (μB per cell): 0.00
ΔH_f (0 K) (eV/f.u.): 1.11